1.
The following is a DFT calculation (PBEsol) of a relaxed structure of MnNbP2O8.

## Properties
formation energy from raw total energies: -2.09 eV per atom
V: 300.9 Å³/cell
N(E_F): 0.348 states/eV/atom

a = 4.965 Å, b = 6.026 Å, c = 10.064 Å
α = 90.00°, β = 92.23°, γ = 90.00°
Space group P2_1/m (No. 11)
One atom of each set of equivalent atoms:
1 Mn 0.067 0.250 0.221 x2
2 Nb 0.435 0.250 0.719 x2
3 P 0.123 0.750 0.095 x2
4 P 0.404 0.750 0.590 x2
5 O 0.157 0.750 0.947 x2
6 O 0.175 0.250 0.871 x2
7 O 0.270 0.546 0.662 x4
8 O 0.277 0.553 0.169 x4
9 O 0.293 0.250 0.390 x2
10 O 0.318 0.750 0.442 x2

***

2.
The following is a DFT calculation (PBEsol) of a relaxed structure of MnNb3P6O24.

## Properties
formation energy from raw total energies: -2.30 eV per atom
V: 1453.7 Å³/cell
N(E_F): 0.193 states/eV/atom

a = 8.6665 Å, b = 8.6665 Å, c = 22.3487 Å
α = 90.00°, β = 90.00°, γ = 120.00°
Space group R3 (No. 146, hexagonal axes)
One atom of each set of equivalent atoms:
1 Mn 0.0000 0.0000 0.0000 x3
2 Nb 0.0000 0.0000 0.2863 x3
3 Nb 0.0000 0.0000 0.5021 x3
4 Nb 0.0000 0.0000 0.7838 x3
5 P 0.0519 0.6756 0.0596 x9
6 P 0.0592 0.3886 0.5628 x9
7 O 0.0158 0.1947 0.5512 x9
8 O 0.0234 0.1942 0.8382 x9
9 O 0.0402 0.8386 0.3392 x9
10 O 0.0512 0.8471 0.0517 x9
11 O 0.1539 0.6821 0.4020 x9
12 O 0.1588 0.6853 0.1163 x9
13 O 0.1691 0.4565 0.9056 x9
14 O 0.1802 0.4588 0.6164 x9

***

3.
The following is a DFT calculation (PBEsol) of a relaxed structure of Sr2MnNbO6.

## Properties
formation energy from raw total energies: -2.63 eV per atom
V: 237.1 Å³/cell
N(E_F): 0.135 states/eV/atom

a = 5.516 Å, b = 5.516 Å, c = 7.791 Å
α = 90.00°, β = 90.00°, γ = 90.00°
Space group I4/mmm (No. 139)
One atom of each set of equivalent atoms:
1 Sr 0.000 0.500 0.250 x4
2 Mn 0.000 0.000 0.000 x2
3 Nb 0.000 0.000 0.500 x2
4 O 0.000 0.000 0.244 x4
5 O 0.244 0.244 0.000 x8

***

4.
The following is a DFT calculation (PBEsol) of a relaxed structure of Sr2MnNbO6.

## Properties
formation energy from raw total energies: -2.63 eV per atom
V: 237.0 Å³/cell
N(E_F): 0.163 states/eV/atom

a = 9.549 Å, b = 5.513 Å, c = 5.516 Å
α = 90.00°, β = 125.29°, γ = 90.00°
Space group C2/m (No. 12)
One atom of each set of equivalent atoms:
1 Sr 0.250 0.000 0.250 x4
2 Mn 0.000 0.000 0.500 x2
3 Nb 0.000 0.500 0.000 x2
4 O 0.006 0.244 0.750 x8
5 O 0.244 0.000 0.731 x4

***

5.
The following is a DFT calculation (PBEsol) of a relaxed structure of Sr2MnNbO6.

## Properties
formation energy from raw total energies: -2.63 eV per atom
V: 237.1 Å³/cell
N(E_F): 0.167 states/eV/atom

a = 5.512 Å, b = 5.512 Å, c = 7.803 Å
α = 90.00°, β = 90.00°, γ = 90.00°
Space group I4/m (No. 87)
One atom of each set of equivalent atoms:
1 Sr 0.000 0.500 0.250 x4
2 Mn 0.000 0.000 0.000 x2
3 Nb 0.000 0.000 0.500 x2
4 O 0.000 0.000 0.244 x4
5 O 0.233 0.254 0.000 x8

***

6.
The following is a DFT calculation (PBEsol) of a relaxed structure of Mn2Nb2Zn2O9.

## Properties
formation energy from raw total energies: -1.90 eV per atom
V: 336.1 Å³/cell
N(E_F): 0.002 states/eV/atom

a = 5.2214 Å, b = 5.2214 Å, c = 14.2340 Å
α = 90.00°, β = 90.00°, γ = 120.00°
Space group P-3c1 (No. 165)
One atom of each set of equivalent atoms:
1 Mn 0.3333 0.6667 0.0149 x4
2 Nb 0.0000 0.0000 0.1405 x4
3 Zn 0.3333 0.6667 0.2969 x4
4 O 0.0000 0.2879 0.2500 x6
5 O 0.0241 0.3444 0.9163 x12

***

7.
The following is a DFT calculation (PBEsol) of a relaxed structure of Mn2NbP12.

## Properties
formation enthalpy at 0 K: -457.7 meV/atom
V: 869.7 Å³/cell
N(E_F): 0.369 states/eV/atom

a = 15.919 Å, b = 5.731 Å, c = 10.567 Å
α = 90.00°, β = 115.55°, γ = 90.00°
Space group C2/c (No. 15)
One atom of each set of equivalent atoms:
1 Mn 0.182 0.190 0.045 x8
2 Nb 0.000 0.303 0.250 x4
3 P 0.034 0.048 0.927 x8
4 P 0.062 0.356 0.665 x8
5 P 0.117 0.451 0.503 x8
6 P 0.156 0.178 0.240 x8
7 P 0.178 0.172 0.835 x8
8 P 0.226 0.176 0.574 x8

***

8.
The following is a DFT calculation (PBEsol) of a relaxed structure of MnNbP.

## Properties
formation enthalpy at 0 K: -882.5 meV/atom
V: 153.9 Å³/cell
N(E_F): 0.737 states/eV/atom

a = 6.098 Å, b = 3.579 Å, c = 7.051 Å
α = 90.00°, β = 90.00°, γ = 90.00°
Space group Pnma (No. 62)
One atom of each set of equivalent atoms:
1 Mn 0.142 0.250 0.058 x4
2 Nb 0.026 0.250 0.675 x4
3 P 0.225 0.750 0.875 x4

***

9.
The following is a DFT calculation (PBEsol) of a relaxed structure of MnNbP2.

## Properties
formation enthalpy at 0 K: 34.9 meV/atom
V: 298.2 Å³/cell
N(E_F): 0.842 states/eV/atom

a = 5.506 Å, b = 5.506 Å, c = 9.838 Å
α = 90.00°, β = 90.00°, γ = 90.00°
Space group I-42d (No. 122)
One atom of each set of equivalent atoms:
1 Mn 0.000 0.000 0.000 x4
2 Nb 0.000 0.000 0.500 x4
3 P 0.218 0.250 0.125 x8

***

10.
The following is a DFT calculation (PBEsol) of a relaxed structure of MnNbPS2.

## Properties
formation energy from raw total energies: 0.24 eV per atom
V: 108.1 Å³/cell
N(E_F): 0.442 states/eV/atom
excess energy over the best structure of this formula in the dataset: 0.000 eV per atom

a = 4.687 Å, b = 4.687 Å, c = 4.920 Å
α = 90.00°, β = 90.00°, γ = 90.00°
Space group P4/mmm (No. 123)
One atom of each set of equivalent atoms:
1 Mn 0.000 0.000 0.000 x1
2 Nb 0.500 0.500 0.500 x1
3 P 0.500 0.500 0.000 x1
4 S 0.000 0.500 0.500 x2

***

11.
The following is a DFT calculation (PBEsol) of a relaxed structure of MnNbPS2.

## Properties
formation energy from raw total energies: 0.35 eV per atom
V: 82.7 Å³/cell
N(E_F): 0.898 states/eV/atom
excess energy over the best structure of this formula in the dataset: 0.107 eV per atom

a = 4.337 Å, b = 4.337 Å, c = 4.395 Å
α = 90.00°, β = 90.00°, γ = 90.00°
Space group P4/mmm (No. 123)
One atom of each set of equivalent atoms:
1 Mn 0.000 0.000 0.000 x1
2 Nb 0.500 0.500 0.500 x1
3 P 0.000 0.000 0.500 x1
4 S 0.000 0.500 0.000 x2

***

12.
The following is a DFT calculation (PBEsol) of a relaxed structure of MnNb3Pb.

## Properties
formation enthalpy at 0 K: 591.8 meV/atom
V: 97.6 Å³/cell
N(E_F): 0.752 states/eV/atom

a = 4.604 Å, b = 4.604 Å, c = 4.604 Å
α = 90.00°, β = 90.00°, γ = 90.00°
Space group Pm-3m (No. 221)
One atom of each set of equivalent atoms:
1 Mn 0.000 0.000 0.000 x1
2 Nb 0.000 0.000 0.500 x3
3 Pb 0.500 0.500 0.500 x1

***

13.
The following is a DFT calculation (PBEsol) of a relaxed structure of Mn2NbZnPd.

## Properties
formation enthalpy at 0 K: 1061.3 meV/atom
V: 86.5 Å³/cell
N(E_F): 1.015 states/eV/atom

a = 4.415 Å, b = 4.415 Å, c = 4.437 Å
α = 90.00°, β = 90.00°, γ = 90.00°
Space group P4/mmm (No. 123)
One atom of each set of equivalent atoms:
1 Mn 0.000 0.500 0.000 x2
2 Nb 0.000 0.000 0.500 x1
3 Zn 0.500 0.500 0.000 x1
4 Pd 0.500 0.500 0.500 x1

***

14.
The following is a DFT calculation (PBEsol) of a relaxed structure of Mn2NbPt.

## Properties
formation enthalpy at 0 K: -179.8 meV/atom
V: 224.2 Å³/cell
N(E_F): 0.342 states/eV/atom

a = 6.075 Å, b = 6.075 Å, c = 6.075 Å
α = 90.00°, β = 90.00°, γ = 90.00°
Space group Fm-3m (No. 225)
One atom of each set of equivalent atoms:
1 Mn 0.250 0.250 0.250 x8
2 Nb 0.000 0.000 0.000 x4
3 Pt 0.000 0.000 0.500 x4

***

15.
The following is a DFT calculation (PBEsol) of a relaxed structure of ZrMnNbRe2.

## Properties
formation enthalpy at 0 K: 971.9 meV/atom
V: 88.3 Å³/cell
N(E_F): 1.235 states/eV/atom

a = 4.428 Å, b = 4.428 Å, c = 4.505 Å
α = 90.00°, β = 90.00°, γ = 90.00°
Space group P4/mmm (No. 123)
One atom of each set of equivalent atoms:
1 Zr 0.000 0.000 0.000 x1
2 Mn 0.000 0.000 0.500 x1
3 Nb 0.500 0.500 0.000 x1
4 Re 0.000 0.500 0.500 x2

***

16.
The following is a DFT calculation (PBEsol) of a relaxed structure of Mn3NbRu.

## Properties
formation enthalpy at 0 K: 1439.6 meV/atom
V: 84.7 Å³/cell
N(E_F): 1.586 states/eV/atom

a = 4.392 Å, b = 4.392 Å, c = 4.392 Å
α = 90.00°, β = 90.00°, γ = 90.00°
Space group Pm-3m (No. 221)
One atom of each set of equivalent atoms:
1 Mn 0.000 0.000 0.500 x3
2 Nb 0.500 0.500 0.500 x1
3 Ru 0.000 0.000 0.000 x1

***

17.
The following is a DFT calculation (PBEsol) of a relaxed structure of MnNb3Ru.

## Properties
formation enthalpy at 0 K: 966.3 meV/atom
V: 88.9 Å³/cell
N(E_F): 1.453 states/eV/atom

a = 4.464 Å, b = 4.464 Å, c = 4.464 Å
α = 90.00°, β = 90.00°, γ = 90.00°
Space group Pm-3m (No. 221)
One atom of each set of equivalent atoms:
1 Mn 0.000 0.000 0.000 x1
2 Nb 0.000 0.000 0.500 x3
3 Ru 0.500 0.500 0.500 x1

***

18.
The following is a DFT calculation (PBEsol) of a relaxed structure of MnNb2Ru.

## Properties
formation enthalpy at 0 K: -96.0 meV/atom
V: 237.1 Å³/cell
N(E_F): 0.859 states/eV/atom

a = 6.189 Å, b = 6.189 Å, c = 6.189 Å
α = 90.00°, β = 90.00°, γ = 90.00°
Space group Fm-3m (No. 225)
One atom of each set of equivalent atoms:
1 Mn 0.000 0.000 0.000 x4
2 Nb 0.250 0.250 0.250 x8
3 Ru 0.000 0.000 0.500 x4

***

19.
The following is a DFT calculation (PBEsol) of a relaxed structure of MnNb3S.

## Properties
formation energy from raw total energies: 0.33 eV per atom
V: 93.1 Å³/cell
N(E_F): 1.120 states/eV/atom

a = 4.532 Å, b = 4.532 Å, c = 4.532 Å
α = 90.00°, β = 90.00°, γ = 90.00°
Space group Pm-3m (No. 221)
One atom of each set of equivalent atoms:
1 Mn 0.000 0.000 0.000 x1
2 Nb 0.000 0.500 0.500 x3
3 S 0.500 0.500 0.500 x1